A relaxed structure of KMn2Cu2O6. Source: Alexandria via LeMat-Bulk, functional PBE+U.

Results
Total DFT energy (no corrections) in eV per cell: -64.484
Spin magnetization in μB/f.u.: 5.0

Geometry as CIF:
```
data_KMn2Cu2O6
_cell_length_a 5.280
_cell_length_b 5.991
_cell_length_c 6.447
_cell_angle_alpha 106.17
_cell_angle_beta 90.72
_cell_angle_gamma 115.02
_symmetry_space_group_name_H-M 'P -1'
_symmetry_Int_Tables_number 2
loop_
_symmetry_equiv_pos_as_xyz
'x,y,z'
'-x,-y,-z'
loop_
_atom_site_label
_atom_site_type_symbol
_atom_site_fract_x
_atom_site_fract_y
_atom_site_fract_z
_atom_site_occupancy
K1 K 0.000 0.000 0.000 1
Mn1 Mn 0.417 0.655 0.182 1
Cu1 Cu 0.261 0.650 0.648 1
O1 O 0.173 0.469 0.342 1
O2 O 0.326 0.502 0.860 1
O3 O 0.463 0.006 0.772 1
```